An optimized crystal structure of HoU2Sn9, computed with PBE.

Crystal system   tetragonal
Energy of formation   -2.62 eV/f.u.
E   -5.483 eV per atom

a b c (Å): 4.6432 4.6432 14.0207
angles (deg): 90.00 90.00 90.00
Space group P4/mmm (No. 123)
Inequivalent atoms, fractional coordinates:
1 Ho 0.0000 0.0000 0.0000 [1 per cell]
2 U 0.0000 0.0000 0.3366 [2 per cell]
3 Sn 0.0000 0.5000 0.1691 [4 per cell]
4 Sn 0.0000 0.5000 0.5000 [2 per cell]
5 Sn 0.5000 0.5000 0.0000 [1 per cell]
6 Sn 0.5000 0.5000 0.3341 [2 per cell]